Below is crystalline AcTlSbO6 at its relaxed geometry, with properties calculated at the PBE level.

Computed properties:
The formation energy (no corrections) is -1651 meV/atom. The volume comes out at 16.19 A^3/atom. The calculation puts the total energy at -55.21 eV per formula unit.

Lattice parameters (Å, degrees): 5.621 5.621 10.652 90.00 90.00 120.00
Fractional coordinates of all 18 atoms:
Ac1 0.000 0.000 0.000
Ac2 0.000 0.000 0.500
Tl1 0.333 0.667 0.250
Tl2 0.667 0.333 0.750
Sb1 0.333 0.667 0.750
Sb2 0.667 0.333 0.250
O1 0.034 0.381 0.641
O2 0.034 0.652 0.859
O3 0.348 0.381 0.859
O4 0.348 0.966 0.641
O5 0.381 0.034 0.141
O6 0.381 0.348 0.359
O7 0.619 0.652 0.641
O8 0.619 0.966 0.859
O9 0.652 0.034 0.359
O10 0.652 0.619 0.141
O11 0.966 0.348 0.141
O12 0.966 0.619 0.359


Below is crystalline ReSb2Te at its relaxed geometry, with properties calculated at the PBE level.

Computed properties:
The formation energy (no corrections) is 912 meV/atom. The volume comes out at 22.24 A^3/atom. The calculation puts the total energy at -20.18 eV per formula unit.

Lattice parameters (Å, degrees): 3.403 5.070 5.157 90.00 90.00 90.00
Fractional coordinates of all 4 atoms:
Re1 0.000 0.000 0.000
Sb1 0.000 0.500 0.500
Sb2 0.500 0.000 0.500
Te1 0.500 0.500 0.000


Below is crystalline Ac2CdI at its relaxed geometry, with properties calculated at the PBE level.

Computed properties:
The formation energy (no corrections) is -542 meV/atom. The volume comes out at 38.08 A^3/atom. The calculation puts the total energy at -12.85 eV per formula unit.

Lattice parameters (Å, degrees): 10.674 10.674 10.674 22.20 22.20 22.20
Fractional coordinates of all 4 atoms:
Ac1 0.246 0.246 0.246
Ac2 0.754 0.754 0.754
Cd1 0.500 0.500 0.500
I1 0.000 0.000 0.000


Below is crystalline TcHgPb2 at its relaxed geometry, with properties calculated at the PBE level.

Computed properties:
The volume comes out at 25.38 A^3/atom. The calculation puts the total energy at -16.47 eV per formula unit. For the energy relative to the elements, the calculation gives 0.405 eV per atom.

Lattice parameters (Å, degrees): 3.231 3.416 9.225 90.00 94.46 90.00
Fractional coordinates of all 4 atoms:
Tc1 0.000 0.000 0.000
Hg1 0.500 0.000 0.500
Pb1 0.457 0.500 0.809
Pb2 0.543 0.500 0.191


Below is crystalline Re2Tc3Ru4 at its relaxed geometry, with properties calculated at the PBE level.

Computed properties:
The volume comes out at 14.72 A^3/atom. The calculation puts the total energy at -91.59 eV per formula unit. For the energy relative to the elements, the calculation gives 0.168 eV per atom.

Lattice parameters (Å, degrees): 7.545 7.545 5.301 92.29 92.29 61.51
Fractional coordinates of all 18 atoms:
Re1 0.045 0.619 0.629
Re2 0.381 0.955 0.871
Re3 0.619 0.045 0.129
Re4 0.955 0.381 0.371
Tc1 0.003 0.997 0.750
Tc2 0.302 0.394 0.267
Tc3 0.394 0.302 0.767
Tc4 0.606 0.698 0.233
Tc5 0.698 0.606 0.733
Tc6 0.997 0.003 0.250
Ru1 0.059 0.308 0.904
Ru2 0.306 0.660 0.989
Ru3 0.308 0.059 0.404
Ru4 0.340 0.694 0.511
Ru5 0.660 0.306 0.489
Ru6 0.692 0.941 0.596
Ru7 0.694 0.340 0.011
Ru8 0.941 0.692 0.096


Below is crystalline PmTa4Se8 at its relaxed geometry, with properties calculated at the PBE level.

Computed properties:
The formation energy (no corrections) is -866 meV/atom. The volume comes out at 23.98 A^3/atom. The calculation puts the total energy at -91.29 eV per formula unit.

Lattice parameters (Å, degrees): 8.218 8.218 8.218 51.27 51.27 51.27
Fractional coordinates of all 13 atoms:
Pm1 0.000 0.000 0.000
Ta1 0.000 0.000 0.500
Ta2 0.000 0.500 0.000
Ta3 0.500 0.000 0.000
Ta4 0.500 0.500 0.500
Se1 0.243 0.243 0.243
Se2 0.255 0.738 0.738
Se3 0.262 0.262 0.745
Se4 0.262 0.745 0.262
Se5 0.738 0.255 0.738
Se6 0.738 0.738 0.255
Se7 0.745 0.262 0.262
Se8 0.757 0.757 0.757


Below is crystalline Li2DyCdHg2 at its relaxed geometry, with properties calculated at the PBE level.

Computed properties:
The volume comes out at 21.14 A^3/atom. The calculation puts the total energy at -12.14 eV per formula unit. For the energy relative to the elements, the calculation gives -0.365 eV per atom.

Lattice parameters (Å, degrees): 4.752 4.752 6.487 90.00 90.00 120.00
Fractional coordinates of all 6 atoms:
Li1 0.333 0.667 0.166
Li2 0.667 0.333 0.834
Dy1 0.000 0.000 0.500
Cd1 0.000 0.000 0.000
Hg1 0.333 0.667 0.728
Hg2 0.667 0.333 0.272


Below is crystalline NaCd2Sb2 at its relaxed geometry, with properties calculated at the PBE level.

Computed properties:
The formation energy (no corrections) is -131 meV/atom. The volume comes out at 29.32 A^3/atom. The calculation puts the total energy at -12.05 eV per formula unit.

Lattice parameters (Å, degrees): 7.771 7.771 7.771 145.93 145.93 48.95
Fractional coordinates of all 5 atoms:
Na1 0.000 0.000 0.000
Cd1 0.250 0.750 0.500
Cd2 0.750 0.250 0.500
Sb1 0.385 0.385 0.000
Sb2 0.615 0.615 0.000